i:
VASP calculation (PBE) on a relaxed BaTe2PdI crystal.

abc: 5.449 5.593 5.449
angles: 90.00 90.00 90.00
Positions (direct):
Te 0.000 0.000 0.500
Pd 0.000 0.000 0.000
Te 0.500 0.000 0.000
Ba 0.500 0.500 0.500
I 0.000 0.500 0.000

space-group type	P4/mmm


ii:
VASP calculation (PBE) on a relaxed BaTe2PdI crystal.

abc: 6.775 6.775 6.621
angles: 90.00 90.00 90.00
Last column: magnetic moment on the atom in μB.
Positions (direct):
Te 0.000 0.500 0.000  0.62
Pd 0.500 0.500 0.500  0.46
I 0.000 0.000 0.500  0.10
Te 0.500 0.000 0.000  0.62
Ba 0.000 0.000 0.000  -0.01

space-group type	P4/mmm


Calculated relative energies: i 0; ii 1165, given in meV/atom


i:
VASP calculation (PBE) on a relaxed BaTePdI2 crystal.

abc: 5.525 5.525 5.620
angles: 90.00 90.00 90.00
Positions (direct):
Te 0.000 0.000 0.500
Ba 0.500 0.500 0.500
I 0.000 0.500 0.000
I 0.500 0.000 0.000
Pd 0.000 0.000 0.000

space-group type	P4/mmm


ii:
VASP calculation (PBE) on a relaxed BaTePdI2 crystal.

abc: 6.684 6.684 6.930
angles: 90.00 90.00 90.00
Last column: magnetic moment on the atom in μB.
Positions (direct):
Te 0.000 0.000 0.500  0.67
I 0.500 0.000 0.000  0.07
I 0.000 0.500 0.000  0.07
Ba 0.000 0.000 0.000  -0.01
Pd 0.500 0.500 0.500  0.49

space-group type	P4/mmm


Calculated relative energies: i 0; ii 913, given in meV/atom


i:
VASP calculation (PBE) on a relaxed Ba2PrI crystal.

abc: 4.086 4.086 11.008
angles: 90.00 90.00 90.00
Positions (direct):
Ba 0.000 0.000 0.272
Ba 0.000 0.000 0.728
I 0.500 0.500 0.500
Pr 0.500 0.500 0.000

space-group type	P4/mmm


ii:
VASP calculation (PBE) on a relaxed Ba2PrI crystal.

abc: 4.105 4.105 13.102
angles: 80.99 80.99 60.00
Last column: magnetic moment on the atom in μB.
Positions (direct):
Ba 0.902 0.902 0.294  0.07
Ba 0.098 0.098 0.706  0.07
I 0.500 0.500 0.500  0.00
Pr 0.000 0.000 0.000  0.32

space-group type	R-3m


Calculated relative energies: i 0; ii 186, given in meV/atom


i:
VASP calculation (PBE) on a relaxed Ba3PtI crystal.

abc: 6.271 6.271 6.271
angles: 90.00 90.00 90.00
Positions (direct):
Ba 0.000 0.500 0.000
Pt 0.000 0.000 0.000
I 0.500 0.500 0.500
Ba 0.500 0.000 0.000
Ba 0.000 0.000 0.500

space-group type	Pm-3m


ii:
VASP calculation (PBE) on a relaxed Ba3PtI crystal.

abc: 4.418 11.153 9.315
angles: 90.00 90.00 90.00
Positions (direct):
I 0.250 0.750 0.570
I 0.750 0.250 0.430
Ba 0.750 0.750 0.253
Ba 0.250 0.250 0.747
Ba 0.250 0.082 0.162
Pt 0.250 0.750 0.011
Ba 0.250 0.418 0.162
Ba 0.750 0.582 0.838
Ba 0.750 0.918 0.838
Pt 0.750 0.250 0.989

space-group type	Pmmn


iii:
VASP calculation (PBE) on a relaxed Ba3PtI crystal.

abc: 4.789 8.028 11.203
angles: 90.00 90.00 90.00
Last column: magnetic moment on the atom in μB.
Positions (direct):
Ba 0.750 0.005 0.142  0.02
Ba 0.750 0.250 0.601  0.12
Ba 0.250 0.505 0.858  0.02
Ba 0.250 0.995 0.858  0.02
Pt 0.750 0.250 0.897  0.01
Ba 0.250 0.750 0.399  0.12
I 0.750 0.750 0.646  0.01
Ba 0.750 0.495 0.142  0.02
Pt 0.250 0.750 0.103  0.01
I 0.250 0.250 0.354  0.01

space-group type	Pmmn


Calculated relative energies: i 134; ii 25; iii 0, given in meV/atom


i:
VASP calculation (PBE) on a relaxed BaPt3I crystal.

abc: 5.143 5.143 5.143
angles: 90.00 90.00 90.00
Positions (direct):
Pt 0.000 0.500 0.000
Pt 0.000 0.000 0.500
Pt 0.500 0.000 0.000
Ba 0.500 0.500 0.500
I 0.000 0.000 0.000

space-group type	Pm-3m


ii:
VASP calculation (PBE) on a relaxed BaPt3I crystal.

abc: 5.458 5.458 5.458
angles: 90.00 90.00 90.00
Positions (direct):
I 0.500 0.500 0.500
Pt 0.500 0.000 0.000
Pt 0.000 0.000 0.500
Ba 0.000 0.000 0.000
Pt 0.000 0.500 0.000

space-group type	Pm-3m


Calculated relative energies: i 0; ii 1354, given in meV/atom


i:
VASP calculation (PBE) on a relaxed BaPtI2 crystal.

abc: 5.667 5.667 5.667
angles: 60.00 60.00 60.00
Positions (direct):
Pt 0.500 0.500 0.500
I 0.750 0.750 0.750
I 0.250 0.250 0.250
Ba 0.000 0.000 0.000

space-group type	Fm-3m


ii:
VASP calculation (PBE) on a relaxed BaPtI2 crystal.

abc: 6.239 6.239 9.446
angles: 70.72 70.72 90.00
Positions (direct):
I 0.875 0.960 0.750
I 0.040 0.625 0.250
Ba 0.500 0.500 0.000
Ba 0.250 0.750 0.500
I 0.375 0.290 0.750
Pt 0.750 0.250 0.500
I 0.710 0.125 0.250
Pt 0.000 0.000 0.000

space-group type	I-42d


Calculated relative energies: i 160; ii 0, given in meV/atom


i:
VASP calculation (PBE) on a relaxed BaSbPtI2 crystal.

abc: 6.573 6.573 7.123
angles: 90.00 90.00 90.00
Last column: magnetic moment on the atom in μB.
Positions (direct):
I 0.000 0.500 0.000  0.06
Ba 0.000 0.000 0.000  0.02
Sb 0.000 0.000 0.500  0.77
Pt 0.500 0.500 0.500  -0.10
I 0.500 0.000 0.000  0.06

space-group type	P4/mmm


ii:
VASP calculation (PBE) on a relaxed BaSbPtI2 crystal.

abc: 5.662 5.662 5.354
angles: 90.00 90.00 90.00
Last column: magnetic moment on the atom in μB.
Positions (direct):
I 0.000 0.500 0.000  0.02
I 0.500 0.000 0.000  0.02
Pt 0.000 0.000 0.000  0.06
Sb 0.000 0.000 0.500  0.13
Ba 0.500 0.500 0.500  0.02

space-group type	P4/mmm


Calculated relative energies: i 1187; ii 0, given in meV/atom


i:
VASP calculation (PBE) on a relaxed BaSb2PtI crystal.

abc: 5.327 5.327 5.838
angles: 90.00 90.00 90.00
Positions (direct):
Ba 0.500 0.500 0.500
Sb 0.000 0.500 0.000
Sb 0.500 0.000 0.000
Pt 0.000 0.000 0.000
I 0.000 0.000 0.500

space-group type	P4/mmm


ii:
VASP calculation (PBE) on a relaxed BaSb2PtI crystal.

abc: 6.579 6.579 6.387
angles: 90.00 90.00 90.00
Last column: magnetic moment on the atom in μB.
Positions (direct):
Ba 0.000 0.000 0.000  0.05
I 0.000 0.000 0.500  0.11
Sb 0.500 0.000 0.000  0.41
Pt 0.500 0.500 0.500  0.56
Sb 0.000 0.500 0.000  0.41

space-group type	P4/mmm


Calculated relative energies: i 0; ii 1612, given in meV/atom


i:
VASP calculation (PBE) on a relaxed BaTePtI2 crystal.

abc: 6.638 6.638 6.985
angles: 90.00 90.00 90.00
Last column: magnetic moment on the atom in μB.
Positions (direct):
I 0.500 0.000 0.000  0.06
Pt 0.500 0.500 0.500  0.07
I 0.000 0.500 0.000  0.06
Te 0.000 0.000 0.500  0.70
Ba 0.000 0.000 0.000  -0.01

space-group type	P4/mmm


ii:
VASP calculation (PBE) on a relaxed BaTePtI2 crystal.

abc: 5.552 5.552 5.569
angles: 90.00 90.00 90.00
Positions (direct):
Ba 0.500 0.500 0.500
I 0.500 0.000 0.000
I 0.000 0.500 0.000
Pt 0.000 0.000 0.000
Te 0.000 0.000 0.500

space-group type	P4/mmm


Calculated relative energies: i 1233; ii 0, given in meV/atom


i:
VASP calculation (PBE) on a relaxed RbBaI2 crystal.

abc: 8.323 8.323 9.930
angles: 65.22 65.22 90.00
Last column: magnetic moment on the atom in μB.
Positions (direct):
I 0.102 0.625 0.250  0.01
Ba 0.000 0.000 0.000  0.10
Ba 0.750 0.250 0.500  0.10
Rb 0.500 0.500 0.000  0.01
I 0.875 0.898 0.750  0.01
Rb 0.250 0.750 0.500  0.01
I 0.375 0.352 0.750  0.01
I 0.648 0.125 0.250  0.01

space-group type	I-42d


ii:
VASP calculation (PBE) on a relaxed RbBaI2 crystal.

abc: 4.340 4.340 8.956
angles: 90.00 90.00 90.00
Last column: magnetic moment on the atom in μB.
Positions (direct):
Ba 0.500 0.500 0.000  0.15
I 0.000 0.000 0.767  0.00
Rb 0.500 0.500 0.500  0.01
I 0.000 0.000 0.233  0.00

space-group type	P4/mmm


iii:
VASP calculation (PBE) on a relaxed RbBaI2 crystal.

abc: 4.743 4.743 10.059
angles: 76.36 76.36 60.00
Last column: magnetic moment on the atom in μB.
Positions (direct):
Rb 0.500 0.500 0.500  0.00
I 0.749 0.749 0.753  0.01
I 0.251 0.251 0.247  0.01
Ba 0.000 0.000 0.000  0.15

space-group type	R-3m


Calculated relative energies: i 157; ii 41; iii 0, given in meV/atom


i:
VASP calculation (PBE) on a relaxed RbBaI2 crystal.

abc: 4.697 4.697 10.246
angles: 76.75 76.75 60.00
Last column: magnetic moment on the atom in μB.
Positions (direct):
Ba 0.667 0.667 0.998  0.15
I 0.082 0.082 0.753  0.01
I 0.252 0.252 0.245  0.01
Rb 0.499 0.499 0.503  0.00

space-group type	R3m


ii:
VASP calculation (PBE) on a relaxed RbBaI2 crystal.

abc: 6.197 6.197 6.197
angles: 60.00 60.00 60.00
Last column: magnetic moment on the atom in μB.
Positions (direct):
Rb 0.000 0.000 0.000  0.03
I 0.250 0.250 0.250  0.00
I 0.750 0.750 0.750  0.00
Ba 0.500 0.500 0.500  0.21

space-group type	Fm-3m


Calculated relative energies: i 0; ii 122, given in meV/atom


i:
VASP calculation (PBE) on a relaxed RbBaI crystal.

abc: 4.743 4.743 20.161
angles: 66.15 66.15 60.57
Last column: magnetic moment on the atom in μB.
Positions (direct):
Rb 0.485 0.485 0.272  0.00
Ba 0.160 0.160 0.554  0.10
I 0.099 0.099 0.891  0.01
Rb 0.269 0.269 0.036  0.00
Ba 0.593 0.593 0.754  0.10
I 0.654 0.654 0.416  0.01

space-group type	C2/m


ii:
VASP calculation (PBE) on a relaxed RbBaI crystal.

abc: 4.405 4.405 9.066
angles: 104.06 104.06 90.00
Last column: magnetic moment on the atom in μB.
Positions (direct):
Rb 0.980 0.980 0.960  0.00
I 0.319 0.319 0.637  0.00
Ba 0.701 0.701 0.403  0.11

space-group type	I4mm


Calculated relative energies: i 0; ii 74, given in meV/atom